# 1
This record from the Alexandria database describes a relaxed SrSnO3 crystal. The functional is PBE.

Results
Formation energy (no corrections) ... -1014 kJ/mol of formula units

a = 3.8193 Å, b = 3.8193 Å, c = 12.6827 Å
α = 90.00°, β = 90.00°, γ = 120.00°
Fractional positions:
O1 0.0000 0.0000 0.7500
Sn1 0.6667 0.3333 0.2500
O2 0.0000 0.0000 0.2500
Sn2 0.3333 0.6667 0.7500
O3 0.3333 0.6667 0.9041
O4 0.6667 0.3333 0.4041
O5 0.6667 0.3333 0.0959
O6 0.3333 0.6667 0.5959
Sr1 0.0000 0.0000 0.5000
Sr2 0.0000 0.0000 0.0000

# 2
This record from the Alexandria database describes a relaxed SrSnO3 crystal. The functional is PBE.

Results
Formation energy (no corrections) ... -647 kJ/mol of formula units

a = 3.7470 Å, b = 3.7470 Å, c = 6.1840 Å
α = 90.00°, β = 90.00°, γ = 90.00°
Each line ends with the local moment (μB).
Fractional positions:
O1 0.0000 0.5000 0.3936  0.01
Sr1 0.0000 0.0000 0.1525  0.00
Sn1 0.5000 0.5000 0.5568  0.01
O2 0.5000 0.0000 0.3936  0.00
O3 0.0000 0.0000 0.7671  -0.08

# 3
This record from the Alexandria database describes a relaxed SrSnO3 crystal. The functional is PBE.

Results
Formation energy (no corrections) ... -1063 kJ/mol of formula units

a = 7.1031 Å, b = 5.7439 Å, c = 4.1800 Å
α = 90.00°, β = 126.04°, γ = 90.00°
Fractional positions:
O1 0.3599 0.3022 0.6031
Sn1 0.8599 0.8022 0.6031
O2 0.1642 0.9979 0.9075
O3 0.6643 0.1065 0.4073
O4 0.8599 0.8022 0.1031
Sr1 0.8599 0.3022 0.1031
O5 0.5556 0.6066 0.2988
Sn2 0.3599 0.3022 0.1031
Sr2 0.3599 0.8023 0.6032
O6 0.0556 0.4979 0.7988

# 4
This record from the Alexandria database describes a relaxed Sr3Sn2O7 crystal. The functional is PBE.

Results
Formation energy (no corrections) ... -2516 kJ/mol of formula units
Energy above the lowest structure with this stoichiometry ... 142.8 meV/atom

a = 4.0388 Å, b = 4.1408 Å, c = 11.0761 Å
α = 100.77°, β = 90.00°, γ = 90.00°
Fractional positions:
O1 0.0000 0.1906 0.3812
Sn1 0.0000 0.0960 0.1919
Sn2 0.0000 0.9040 0.8081
Sr1 0.5000 0.6776 0.3552
O2 0.5000 0.9059 0.8118
O3 0.0000 0.5930 0.1861
Sr2 0.5000 0.3224 0.6448
O4 0.0000 0.4070 0.8139
O5 0.5000 0.0941 0.1882
O6 0.0000 0.8094 0.6188
O7 0.0000 0.0000 0.0000
Sr3 0.5000 0.5000 0.0000

# 5
This record from the Alexandria database describes a relaxed SrSnO3 crystal. The functional is PBE.

Results
Formation energy (no corrections) ... -1048 kJ/mol of formula units

a = 4.1120 Å, b = 5.8143 Å, c = 4.1116 Å
α = 89.99°, β = 90.00°, γ = 134.99°
Fractional positions:
O1 0.1150 0.2045 0.1151
Sr1 0.6143 0.7045 0.6166
O2 0.1151 0.7045 0.1157
Sn1 0.6149 0.2045 0.1159
O3 0.6156 0.2045 0.6158

# 6
This record from the Alexandria database describes a relaxed SrSnO3 crystal. The functional is PBE.

Results
Formation energy (no corrections) ... -731 kJ/mol of formula units

a = 5.2742 Å, b = 5.2742 Å, c = 5.2742 Å
α = 82.55°, β = 82.55°, γ = 82.55°
Fractional positions:
O1 0.6615 0.1130 0.6615
O2 0.6615 0.6615 0.1130
Sr1 0.5638 0.5638 0.5638
Sn1 0.8752 0.8752 0.8752
O3 0.1130 0.6615 0.6615

# 7
This record from the Alexandria database describes a relaxed Sr5Sn2O crystal. The functional is PBE.

Results
Formation energy (no corrections) ... -678 kJ/mol of formula units

a = 5.5774 Å, b = 6.8387 Å, c = 16.1585 Å
α = 90.00°, β = 90.00°, γ = 114.07°
Fractional positions:
Sr1 0.8944 0.7888 0.8664
Sr2 0.1056 0.2112 0.3664
Sn1 0.7501 0.5002 0.0447
Sr3 0.2506 0.5011 0.7500
O1 0.7504 0.5008 0.7500
Sr4 0.3937 0.7873 0.3662
Sr5 0.3937 0.7873 0.1338
Sn2 0.2499 0.4998 0.5447
Sn3 0.7501 0.5002 0.4553
Sr6 0.6063 0.2127 0.8662
O2 0.2496 0.4992 0.2500
Sr7 0.6063 0.2127 0.6338
Sr8 0.7494 0.4989 0.2500
Sr9 0.8944 0.7888 0.6336
Sr10 0.1056 0.2112 0.1336
Sn4 0.2499 0.4998 0.9553

# 8
This record from the Alexandria database describes a relaxed SrSnO3 crystal. The functional is PBE.

Results
Formation energy (no corrections) ... -588 kJ/mol of formula units

a = 4.0721 Å, b = 4.0721 Å, c = 11.4836 Å
α = 79.79°, β = 79.79°, γ = 90.00°
Fractional positions:
O1 0.3090 0.3090 0.3819
Sr1 0.0000 0.0000 0.0000
Sn1 0.8624 0.3624 0.2752
O2 0.5884 0.9082 0.1836
O3 0.2280 0.9082 0.1836
O4 0.0918 0.4116 0.8164
O5 0.6910 0.6910 0.6181
O6 0.0918 0.7720 0.8164
Sr2 0.2500 0.7500 0.5000
Sn2 0.6376 0.1376 0.7248

# 9
This record from the Alexandria database describes a relaxed Sr2SnO4 crystal. The functional is PBE.

Results
Formation energy (no corrections) ... -1605 kJ/mol of formula units
Energy above the lowest structure with this stoichiometry ... 12.9 meV/atom

a = 4.1166 Å, b = 4.1166 Å, c = 6.9859 Å
α = 72.86°, β = 72.86°, γ = 90.00°
Fractional positions:
Sr1 0.3538 0.3538 0.2925
O1 0.5000 0.0000 0.0000
Sn1 0.0000 0.0000 0.0000
O2 0.1641 0.1641 0.6718
O3 0.0000 0.5000 0.0000
O4 0.8359 0.8359 0.3282
Sr2 0.6462 0.6462 0.7075

# 10
This record from the Alexandria database describes a relaxed Sr2SnO4 crystal. The functional is PBE.

Results
Formation energy (no corrections) ... -1603 kJ/mol of formula units
Energy above the lowest structure with this stoichiometry ... 16.5 meV/atom

a = 3.4221 Å, b = 6.1414 Å, c = 10.2070 Å
α = 90.00°, β = 90.00°, γ = 90.00°
Fractional positions:
Sr1 0.5000 0.4287 0.6801
Sr2 0.5000 0.0713 0.1801
O1 0.0000 0.8713 0.3144
Sn1 0.0000 0.0000 0.5000
O2 0.0000 0.1287 0.6856
Sr3 0.5000 0.5713 0.3199
O3 0.5000 0.7842 0.5492
O4 0.0000 0.3713 0.1856
O5 0.5000 0.7158 0.0492
O6 0.5000 0.2158 0.4508
O7 0.5000 0.2842 0.9508
Sr4 0.5000 0.9287 0.8199
Sn2 0.0000 0.5000 0.0000
O8 0.0000 0.6287 0.8144

# 11
This record from the Alexandria database describes a relaxed SrSnO3 crystal. The functional is PBE.

Results
Formation energy (no corrections) ... -755 kJ/mol of formula units

a = 3.7637 Å, b = 3.7637 Å, c = 13.7102 Å
α = 90.00°, β = 90.00°, γ = 120.00°
Each line ends with the local moment (μB).
Fractional positions:
O1 0.6667 0.3333 0.0568  0.00
O2 0.6667 0.3333 0.4432  0.00
Sr1 0.6667 0.3333 0.2500  0.02
Sn1 0.0000 0.0000 0.5000  0.00
Sr2 0.3333 0.6667 0.7500  0.02
O3 0.3333 0.6667 0.9432  0.00
O4 0.3333 0.6667 0.5568  0.00
O5 0.0000 0.0000 0.2500  0.20
O6 0.0000 0.0000 0.7500  0.20
Sn2 0.0000 0.0000 0.0000  0.00

# 12
This record from the Alexandria database describes a relaxed SrSnO3 crystal. The functional is PBE.

Results
Formation energy (no corrections) ... -847 kJ/mol of formula units

a = 8.2553 Å, b = 8.2553 Å, c = 5.0170 Å
α = 90.00°, β = 90.00°, γ = 138.23°
Fractional positions:
Sn1 0.0948 0.9052 0.2500
O1 0.0000 0.0000 0.5000
O2 0.9235 0.5676 0.2500
O3 0.4324 0.0765 0.2500
Sr1 0.3073 0.6927 0.2500
O4 0.0000 0.0000 0.0000
O5 0.5676 0.9235 0.7500
Sn2 0.9052 0.0948 0.7500
Sr2 0.6927 0.3073 0.7500
O6 0.0765 0.4324 0.7500

# 13
This record from the Alexandria database describes a relaxed Sr2SnO2 crystal. The functional is PBE.

Results
Formation energy (no corrections) ... -750 kJ/mol of formula units
Energy above the lowest structure with this stoichiometry ... 230.0 meV/atom

a = 7.4072 Å, b = 7.4072 Å, c = 3.5775 Å
α = 90.00°, β = 90.00°, γ = 90.00°
Fractional positions:
O1 0.1641 0.3359 0.0000
O2 0.6641 0.1641 0.0000
Sr1 0.1609 0.6609 0.5000
Sr2 0.6609 0.8391 0.5000
Sr3 0.3391 0.1609 0.5000
O3 0.8359 0.6641 0.0000
Sr4 0.8391 0.3391 0.5000
Sn1 0.5000 0.5000 0.0000
Sn2 0.0000 0.0000 0.0000
O4 0.3359 0.8359 0.0000

# 14
This record from the Alexandria database describes a relaxed SrSnO3 crystal. The functional is PBE.

Results
Formation energy (no corrections) ... -1015 kJ/mol of formula units

a = 3.2743 Å, b = 6.5780 Å, c = 7.2425 Å
α = 95.05°, β = 90.00°, γ = 104.41°
Fractional positions:
O1 0.7436 0.4871 0.6807
O2 0.2564 0.5129 0.3193
Sr1 0.6039 0.2077 0.3840
O3 0.0475 0.0951 0.6679
Sr2 0.3961 0.7922 0.6160
O4 0.9524 0.9049 0.3321
Sn1 0.8196 0.6391 0.1660
O5 0.3398 0.6797 0.9790
O6 0.6602 0.3203 0.0210
Sn2 0.1804 0.3608 0.8340

# 15
This record from the Alexandria database describes a relaxed Sr3Sn2O7 crystal. The functional is PBE.

Results
Formation energy (no corrections) ... -2682 kJ/mol of formula units
Energy above the lowest structure with this stoichiometry ... 0.0 meV/atom

a = 10.7598 Å, b = 10.7598 Å, c = 5.8025 Å
α = 90.00°, β = 90.00°, γ = 148.25°
Fractional positions:
O1 0.0824 0.9176 0.5000
Sr1 0.4247 0.0501 0.2500
Sr2 0.7571 0.7571 0.7500
Sn1 0.3504 0.1527 0.7500
O2 0.6740 0.6740 0.2500
Sn2 0.6496 0.8473 0.2500
O3 0.6136 0.0082 0.2500
O4 0.3260 0.3260 0.7500
Sr3 0.0501 0.4247 0.2500
O5 0.6132 0.3868 0.0000
O6 0.3864 0.9918 0.7500
O7 0.3868 0.6132 0.5000
O8 0.9176 0.0824 0.0000
Sr4 0.9499 0.5753 0.7500
O9 0.0082 0.6136 0.2500
O10 0.9176 0.0824 0.5000
Sn3 0.1527 0.3504 0.7500
Sr5 0.2429 0.2429 0.2500
O11 0.6132 0.3868 0.5000
O12 0.0824 0.9176 0.0000
Sn4 0.8473 0.6496 0.2500
Sr6 0.5753 0.9499 0.7500
O13 0.3868 0.6132 0.0000
O14 0.9918 0.3864 0.7500

# 16
This record from the Alexandria database describes a relaxed SrSnO3 crystal. The functional is PBE.

Results
Formation energy (no corrections) ... -258 kJ/mol of formula units

a = 4.4235 Å, b = 4.4235 Å, c = 4.4235 Å
α = 90.00°, β = 90.00°, γ = 90.00°
Fractional positions:
O1 0.0000 0.0000 0.5000
O2 0.5000 0.0000 0.0000
Sr1 0.0000 0.0000 0.0000
Sn1 0.5000 0.5000 0.5000
O3 0.0000 0.5000 0.0000

# 17
This record from the Alexandria database describes a relaxed Sr2Sn3O8 crystal. The functional is PBE.

Results
Formation energy (no corrections) ... -2534 kJ/mol of formula units

a = 6.5224 Å, b = 6.5224 Å, c = 11.3436 Å
α = 90.00°, β = 90.00°, γ = 120.00°
Fractional positions:
O1 0.9512 0.4756 0.8469
Sn1 0.8358 0.1642 0.7457
O2 0.0488 0.5244 0.3469
Sn2 0.1642 0.8358 0.2457
O3 0.5244 0.0488 0.8469
Sn3 0.3284 0.1642 0.7457
O4 0.0000 0.0000 0.8454
Sr1 0.6667 0.3333 0.0311
O5 0.1574 0.3148 0.6566
O6 0.3148 0.1574 0.1566
O7 0.4756 0.9512 0.3469
Sr2 0.6667 0.3333 0.4250
O8 0.0000 0.0000 0.3454
Sr3 0.3333 0.6667 0.9250
O9 0.1574 0.8426 0.6566
Sn4 0.6716 0.8358 0.2457
O10 0.6852 0.8426 0.6566
O11 0.8426 0.6852 0.1566
O12 0.3333 0.6667 0.1444
Sn5 0.8358 0.6716 0.7457
O13 0.4756 0.5244 0.3469
O14 0.6667 0.3333 0.6444
O15 0.8426 0.1574 0.1566
Sr4 0.3333 0.6667 0.5311
O16 0.5244 0.4756 0.8469
Sn6 0.1642 0.3284 0.2457

# 18
This record from the Alexandria database describes a relaxed SrSnO3 crystal. The functional is PBE.

Results
Formation energy (no corrections) ... -1048 kJ/mol of formula units

a = 21.4247 Å, b = 5.5745 Å, c = 8.2670 Å
α = 90.00°, β = 162.91°, γ = 90.00°
Fractional positions:
O1 0.6417 0.5880 0.7433
O2 0.9088 0.6800 0.0996
Sr1 0.9846 0.2530 0.3308
Sr2 0.5154 0.7530 0.1692
Sr3 0.0154 0.7470 0.6692
O3 0.8583 0.0880 0.7567
O4 0.0912 0.3200 0.9004
Sn1 0.5259 0.7395 0.6688
O5 0.2972 0.9390 0.9573
Sn2 0.0259 0.7605 0.1688
Sn3 0.9741 0.2395 0.8312
O6 0.2028 0.4390 0.5427
Sr4 0.4846 0.2470 0.8308
Sn4 0.4741 0.2605 0.3312
O7 0.3583 0.4120 0.2567
O8 0.5912 0.1800 0.4004
O9 0.1417 0.9120 0.2433
O10 0.7972 0.5610 0.4573
O11 0.4088 0.8200 0.5996
O12 0.7028 0.0610 0.0427

# 19
This record from the Alexandria database describes a relaxed SrSnO3 crystal. The functional is PBE.

Results
Formation energy (no corrections) ... -1016 kJ/mol of formula units

a = 12.5056 Å, b = 7.5260 Å, c = 7.5260 Å
α = 102.41°, β = 133.46°, γ = 46.54°
Fractional positions:
O1 0.0910 0.2373 0.7256
Sn1 0.1542 0.4861 0.3045
O2 0.8719 0.1238 0.0926
O3 0.5910 0.7744 0.2627
O4 0.4090 0.2256 0.7373
Sr1 0.2500 0.8506 0.3506
Sn2 0.8458 0.5139 0.6955
O5 0.9288 0.7013 0.8553
Sr2 0.7500 0.5798 0.0798
O6 0.4288 0.6447 0.7987
Sn3 0.3458 0.8045 0.9861
Sr3 0.2500 0.4202 0.9202
O7 0.9090 0.7627 0.2744
O8 0.1281 0.8762 0.9074
O9 0.6281 0.5926 0.6238
O10 0.3719 0.4074 0.3762
Sr4 0.7500 0.1494 0.6494
Sn4 0.6542 0.1955 0.0139
O11 0.0712 0.2987 0.1447
O12 0.5712 0.3553 0.2013

# 20
This record from the Alexandria database describes a relaxed Sr2SnO4 crystal. The functional is PBE.

Results
Formation energy (no corrections) ... -1612 kJ/mol of formula units
Energy above the lowest structure with this stoichiometry ... 2.2 meV/atom

a = 6.9234 Å, b = 6.9234 Å, c = 5.9179 Å
α = 90.00°, β = 90.00°, γ = 130.48°
Fractional positions:
O1 0.6631 0.3369 0.4428
Sn1 0.0000 0.0000 0.0000
Sr1 0.3528 0.6472 0.9854
Sr2 0.6472 0.3528 0.0146
O2 0.7284 0.7716 0.2500
O3 0.8369 0.1631 0.9428
O4 0.2716 0.2284 0.7500
Sr3 0.1472 0.8528 0.4854
Sn2 0.5000 0.5000 0.5000
O5 0.1631 0.8369 0.0572
Sr4 0.8528 0.1472 0.5146
O6 0.7716 0.7284 0.7500
O7 0.3369 0.6631 0.5572
O8 0.2284 0.2716 0.2500